This record from Alexandria via LeMat-Bulk describes an optimized crystal structure of SrCoHg. The functional is PBE-GGA.

CIF file:
```
data_SrCoHg
_cell_length_a 4.5065
_cell_length_b 4.5065
_cell_length_c 4.3315
_cell_angle_alpha 90.00
_cell_angle_beta 90.00
_cell_angle_gamma 120.00
_space_group_name_H-M_alt 'P -6 m 2'
_space_group_IT_number 187
_space_group_name_Hall 'P -6 2'
loop_
_atom_site_label
_atom_site_fract_x
_atom_site_fract_y
_atom_site_fract_z
Sr1 0.0000 0.0000 0.0000
Co1 0.6667 0.3333 0.5000
Hg1 0.3333 0.6667 0.5000
```

Output
Spin magnetization   0.996 μB/f.u.
DOS at the Fermi energy   0.734 states/eV/atom
VASP energy   -8.83 eV per formula unit